(1)
## PaGaRh2O8 (GGA-PBE)

Data for an optimized crystal structure of PaGaRh2O8.

Cell lengths 5.8910, 5.8910, 5.8910 Å; angles 109.12, 109.12, 110.19 degrees
Fractional positions:
Pa 0.0000 0.0000 0.0000
Ga 0.2500 0.7500 0.5000
Rh 0.5000 0.5000 0.0000
Rh 0.7500 0.2500 0.5000
O 0.2909 0.1040 0.8130
O 0.2909 0.4779 0.1870
O 0.3541 0.0294 0.3247
O 0.5221 0.7091 0.8130
O 0.7047 0.0294 0.6753
O 0.8960 0.7091 0.1870
O 0.9706 0.2953 0.3247
O 0.9706 0.6459 0.6753

**Space-group type**: No. 119

---

(2)
## PaGaRhO6 (GGA-PBE)

Data for an optimized crystal structure of PaGaRhO6.

Cell lengths 4.8291, 4.8291, 9.5422 Å; angles 90.00, 90.00, 90.00 degrees
Fractional positions:
Pa 0.0000 0.0000 0.0000
Pa 0.5000 0.5000 0.5000
Ga 0.0000 0.0000 0.6641
Ga 0.5000 0.5000 0.1641
Rh 0.0000 0.0000 0.3297
Rh 0.5000 0.5000 0.8297
O 0.1808 0.1808 0.4976
O 0.2050 0.2050 0.8238
O 0.2059 0.2059 0.1723
O 0.2941 0.7059 0.6723
O 0.2950 0.7050 0.3238
O 0.3192 0.6808 0.9976
O 0.6808 0.3192 0.9976
O 0.7050 0.2950 0.3238
O 0.7059 0.2941 0.6723
O 0.7941 0.7941 0.1723
O 0.7950 0.7950 0.8238
O 0.8192 0.8192 0.4976

**Space-group type**: No. 102

---

(3)
## PaGa2RuO8 (GGA-PBE)

Data for an optimized crystal structure of PaGa2RuO8.

Cell lengths 4.7370, 4.7370, 6.3086 Å; angles 90.00, 90.00, 90.57 degrees
Fractional positions:
Pa 0.0000 0.0000 0.0000
Ga 0.5000 0.5000 0.2568
Ga 0.5000 0.5000 0.7432
Ru 0.0000 0.0000 0.5000
O 0.2086 0.7914 0.2707
O 0.2086 0.7914 0.7293
O 0.2886 0.2886 0.5000
O 0.3163 0.3163 0.0000
O 0.6837 0.6837 0.0000
O 0.7114 0.7114 0.5000
O 0.7914 0.2086 0.2707
O 0.7914 0.2086 0.7293

**Space-group type**: No. 65

---

| no. | M_tot (μB/f.u.) | uncorrected energy (eV per atom) |
| --- | --- | --- |
| 1 | 0.00 | -6.94 |
| 2 | 1.04 | -7.55 |
| 3 | 1.00 | -7.34 |